VB3F (PBE+U, optimized geometry); density = 2.4 g cm⁻³; uncorrected energy = -4.025 eV per atom; D(E_F) = 3.1 states/eV/f.u.; polymorph energy (0 for the lowest one) = 233 meV/atom
1.0
4.165 0.000 0.000
0.000 4.165 0.000
0.000 0.000 4.165
V B F
1 3 1
Cartesian
0.000 0.000 0.000 V
0.000 2.082 0.000 B
0.000 0.000 2.082 B
2.082 0.000 0.000 B
2.082 2.082 2.082 F